Record 1
Below is crystalline AcZn2 at its relaxed geometry, with properties calculated at the PBE level.

Unit cell a=6.2471 b=6.2471 c=4.3880 alpha=90.00 beta=90.00 gamma=60.00
Atoms (fractional coordinates):
Ac: 0.0000 0.0000 0.0000
Ac: 0.3333 0.3333 0.0000
Zn: 0.6667 0.6667 0.0000
Zn: 0.9105 0.4229 0.5000
Zn: 0.4230 0.6665 0.5000
Zn: 0.6666 0.9105 0.5000

Output
Symmetry: P-62m, No. 189
V in Å³/cell: 148
Crystal system: hexagonal
Total magnetic moment in μB per atom: 0.001
Final energy in eV per atom: -2.360
Density in g/cm3: 8.0



Record 2
Below is crystalline AcZn2 at its relaxed geometry, with properties calculated at the PBE level.

Unit cell a=5.3537 b=11.2005 c=4.8076 alpha=90.00 beta=90.00 gamma=90.00
Atoms (fractional coordinates):
Ac: 0.9330 0.0000 0.0000
Ac: 0.4330 0.5000 0.0000
Ac: 0.4003 0.0000 0.5000
Ac: 0.9003 0.5000 0.5000
Zn: 0.5007 0.2006 0.0000
Zn: 0.0008 0.2994 0.0000
Zn: 0.0008 0.7006 0.0000
Zn: 0.5007 0.7994 0.0000
Zn: 0.8326 0.2006 0.5000
Zn: 0.3326 0.2994 0.5000
Zn: 0.3326 0.7006 0.5000
Zn: 0.8326 0.7994 0.5000

Output
Symmetry: Cmcm, No. 63
V in Å³/cell: 288
Crystal system: orthorhombic
Total magnetic moment in μB per atom: 0.001
Final energy in eV per atom: -2.319
Density in g/cm3: 8.2



Record 3
Below is crystalline AcZn3 at its relaxed geometry, with properties calculated at the PBE level.

Unit cell a=6.8817 b=6.8817 c=4.4135 alpha=90.00 beta=90.00 gamma=120.00
Atoms (fractional coordinates):
Ac: 0.0000 0.0000 0.0000
Ac: 0.3334 0.6666 0.5000
Zn: 0.5341 0.0682 0.0000
Zn: 0.5341 0.4659 0.0000
Zn: 0.9318 0.4659 0.0000
Zn: 0.4015 0.2007 0.5000
Zn: 0.7993 0.2007 0.5000
Zn: 0.7993 0.5985 0.5000

Output
Symmetry: P6_3/mmc, No. 194
V in Å³/cell: 181
Crystal system: hexagonal
Total magnetic moment in μB per atom: 0.001
Final energy in eV per atom: -2.225
Density in g/cm3: 7.8



Record 4
Below is crystalline Ac3Zr4 at its relaxed geometry, with properties calculated at the PBE level.

Unit cell a=9.5014 b=9.5013 c=5.5601 alpha=90.00 beta=90.00 gamma=60.00
Atoms (fractional coordinates):
Ac: 0.1170 0.2866 0.0000
Ac: 0.3107 0.5455 0.0000
Ac: 0.8580 0.7393 0.0000
Ac: 0.4068 0.0943 0.5000
Ac: 0.6658 0.6417 0.5000
Ac: 0.2131 0.8354 0.5000
Zr: 0.9684 0.0335 0.0000
Zr: 0.6050 0.1409 0.0000
Zr: 0.7123 0.3970 0.0000
Zr: 0.4286 0.8571 0.0000
Zr: 0.9188 0.2401 0.5000
Zr: 0.5554 0.3474 0.5000
Zr: 0.0952 0.5238 0.5000
Zr: 0.8115 0.9840 0.5000

Output
Symmetry: P6_3/m, No. 176
V in Å³/cell: 435
Crystal system: hexagonal
Total magnetic moment in μB per atom: 0.001
Final energy in eV per atom: -6.385
Density in g/cm3: 8.0